[1]
This record from the Alexandria database describes a relaxed structure of PtS3Br. The functional is PBE-GGA.

abc: 3.599 8.975 9.119
angles: 72.47 79.24 86.92
Atoms (fractional coordinates):
Pt 0.209 0.154 0.058
Pt 0.791 0.846 0.942
S 0.212 0.819 0.122
S 0.370 0.847 0.774
S 0.405 0.050 0.592
S 0.595 0.950 0.408
S 0.630 0.153 0.226
S 0.788 0.181 0.878
Br 0.199 0.551 0.230
Br 0.801 0.449 0.770

Calculated values
**Formation energy from raw total energies**: -0.079 eV/atom
**Excess energy over the best structure of this formula in the dataset**: 0.0 meV per atom

---

[2]
This record from the Alexandria database describes a relaxed structure of Sr2ZrIn. The functional is PBE-GGA.

abc: 6.336 6.336 3.557
angles: 90.12 90.12 113.98
Atoms (fractional coordinates):
Sr 0.000 0.500 0.000
Sr 0.500 0.000 0.000
Zr 0.000 0.000 0.500
In 0.500 0.500 0.500

Calculated values
**DOS at the Fermi energy**: 1.170 states/eV/atom
**Energy of formation**: 0.243 eV/atom

---

[3]
This record from the Alexandria database describes a relaxed structure of La2NdY6. The functional is PBE-GGA.

abc: 10.585 10.585 10.585
angles: 123.70 70.38 141.34
Atoms (fractional coordinates):
La 0.083 0.250 0.833
La 0.417 0.250 0.167
La 0.583 0.750 0.833
La 0.917 0.750 0.167
Nd 0.250 0.750 0.500
Nd 0.750 0.250 0.500
Y 0.000 0.168 0.167
Y 0.000 0.832 0.833
Y 0.166 0.334 0.500
Y 0.167 0.666 0.833
Y 0.333 0.166 0.499
Y 0.334 0.834 0.168
Y 0.500 0.332 0.832
Y 0.500 0.668 0.168
Y 0.666 0.166 0.832
Y 0.667 0.834 0.501
Y 0.833 0.334 0.167
Y 0.834 0.666 0.500

Calculated values
**DOS at the Fermi energy**: 1.641 states/eV/atom
**Energy of formation**: 0.065 eV/atom
**Excess energy over the best structure of this formula in the dataset**: 0.0 meV per atom

---

[4]
This record from the Alexandria database describes a relaxed structure of NaDy2Tl6. The functional is PBE-GGA.

abc: 9.441 9.441 3.530
angles: 90.71 90.71 55.10
Atoms (fractional coordinates):
Na 0.000 0.000 0.000
Dy 0.308 0.308 0.501
Dy 0.692 0.692 0.499
Tl 0.024 0.655 0.001
Tl 0.321 0.679 0.500
Tl 0.345 0.976 0.999
Tl 0.655 0.024 0.001
Tl 0.679 0.321 0.500
Tl 0.976 0.345 0.999

Calculated values
**DOS at the Fermi energy**: 0.540 states/eV/atom
**Energy of formation**: -0.084 eV/atom

---

[5]
This record from the Alexandria database describes a relaxed structure of Y2Ti2S2O5. The functional is PBE-GGA.

abc: 11.845 11.845 11.845
angles: 161.55 161.55 26.21
Atoms (fractional coordinates):
Y 0.167 0.167 0.000
Y 0.833 0.833 0.000
Ti 0.421 0.421 0.000
Ti 0.579 0.579 0.000
S 0.295 0.295 0.000
S 0.705 0.705 0.000
O 0.100 0.600 0.500
O 0.400 0.900 0.500
O 0.500 0.500 0.000
O 0.600 0.100 0.500
O 0.900 0.400 0.500

Calculated values
**Formation energy from raw total energies**: -2.889 eV/atom

---

[6]
This record from the Alexandria database describes a relaxed structure of AlFeCo3. The functional is PBE-GGA.

abc: 4.184 4.184 4.184
angles: 90.00 90.00 90.00
Atoms (fractional coordinates):
Al 0.000 0.000 0.000
Fe 0.500 0.500 0.500
Co 0.000 0.000 0.500
Co 0.000 0.500 0.000
Co 0.500 0.000 0.000

Calculated values
**DOS at the Fermi energy**: 0.513 states/eV/atom
**Energy of formation**: 1.052 eV/atom
**Excess energy over the best structure of this formula in the dataset**: 100.8 meV per atom

---

[7]
This record from the Alexandria database describes a relaxed structure of BaScSe2Br. The functional is PBE-GGA.

abc: 5.289 5.289 5.277
angles: 90.00 90.00 90.00
Atoms (fractional coordinates):
Ba 0.000 0.000 0.000
Sc 0.500 0.500 0.500
Se 0.000 0.500 0.500
Se 0.500 0.000 0.500
Br 0.500 0.500 0.000

Calculated values
**Formation energy from raw total energies**: -1.765 eV/atom
**DOS at the Fermi energy**: 0.006 states/eV/atom
**Excess energy over the best structure of this formula in the dataset**: 0.0 meV per atom

---

[8]
This record from the Alexandria database describes a relaxed structure of CrNi6As. The functional is PBE-GGA.

abc: 7.591 7.591 7.591
angles: 152.73 152.73 38.95
Atoms (fractional coordinates):
Cr 0.000 0.000 0.000
Ni 0.128 0.628 0.500
Ni 0.249 0.249 0.000
Ni 0.372 0.872 0.500
Ni 0.628 0.128 0.500
Ni 0.751 0.751 0.000
Ni 0.872 0.372 0.500
As 0.500 0.500 0.000

Calculated values
**DOS at the Fermi energy**: 1.677 states/eV/atom
**Energy of formation**: -0.023 eV/atom

---

[9]
This record from the Alexandria database describes a relaxed structure of Er6SiTe3As2. The functional is PBE-GGA.

abc: 9.480 9.480 8.506
angles: 104.46 104.46 25.41
Atoms (fractional coordinates):
Er 0.005 0.005 0.228
Er 0.327 0.327 0.434
Er 0.343 0.343 0.903
Er 0.657 0.657 0.097
Er 0.673 0.673 0.566
Er 0.995 0.995 0.772
Si 0.500 0.500 0.000
Te 0.169 0.169 0.833
Te 0.500 0.500 0.500
Te 0.831 0.831 0.167
As 0.167 0.167 0.334
As 0.833 0.833 0.666

Calculated values
**Formation energy from raw total energies**: -1.344 eV/atom
**DOS at the Fermi energy**: 0.309 states/eV/atom

---

[10]
This record from the Alexandria database describes a relaxed structure of K2BaBe. The functional is PBE-GGA.

abc: 11.902 11.902 11.902
angles: 22.92 22.92 22.92
Atoms (fractional coordinates):
K 0.000 0.000 0.000
K 0.219 0.219 0.219
Ba 0.441 0.441 0.441
Be 0.726 0.726 0.726

Calculated values
**DOS at the Fermi energy**: 1.171 states/eV/atom
**Energy of formation**: 0.500 eV/atom

---

- Number 3 is which compound?
  La2NdY6